# MgTiBi, relaxed, DFT GGA-PBE
# **Distance to the lowest polymorph of the same formula**: 437.3 meV/atom
# **ΔE_f**: 0.63 eV/f.u.
# **M_tot**: 1.523 μB/f.u.
# **E**: -4.245 eV per atom
data_MgTiBi
_chemical_formula_sum 'Mg1 Ti1 Bi1'
_symmetry_space_group_name_H-M 'P 3 m 1'
_symmetry_Int_Tables_number 156
_symmetry_space_group_name_Hall 'P 3 -2"'
_cell_length_a 5.0041
_cell_length_b 5.0041
_cell_length_c 3.1937
_cell_angle_alpha 90.00
_cell_angle_beta 90.00
_cell_angle_gamma 120.00
loop_
_atom_site_label
_atom_site_type_symbol
_atom_site_fract_x
_atom_site_fract_y
_atom_site_fract_z
_atom_site_occupancy
Mg1 Mg 0.0000 0.0000 0.0000 1
Ti1 Ti 0.6667 0.3333 0.4298 1
Bi1 Bi 0.3333 0.6667 0.7283 1

# MgTiVBi2, relaxed, DFT GGA-PBE
# **ΔE_f**: 3.11 eV/f.u.
# **M_tot**: 1.993 μB/f.u.
# **E**: -4.652 eV per atom
data_MgTiVBi2
_chemical_formula_sum 'Mg1 Ti1 V1 Bi2'
_symmetry_space_group_name_H-M 'P 4/m m m'
_symmetry_Int_Tables_number 123
_symmetry_space_group_name_Hall '-P 4 2'
_cell_length_a 5.428
_cell_length_b 5.428
_cell_length_c 4.591
_cell_angle_alpha 90.00
_cell_angle_beta 90.00
_cell_angle_gamma 90.00
loop_
_atom_site_label
_atom_site_type_symbol
_atom_site_fract_x
_atom_site_fract_y
_atom_site_fract_z
_atom_site_occupancy
Mg1 Mg 0.000 0.000 0.000 1
Ti1 Ti 0.500 0.500 0.500 1
V1 V 0.500 0.500 0.000 1
Bi1 Bi 0.000 0.500 0.500 1

# MgTlBi, relaxed, DFT GGA-PBE
# **ΔE_f**: -0.32 eV/f.u.
# **M_tot**: 0.000 μB/f.u.
# **E**: -2.720 eV per atom
data_MgTlBi
_chemical_formula_sum 'Mg4 Tl4 Bi4'
_symmetry_space_group_name_H-M 'F -4 3 m'
_symmetry_Int_Tables_number 216
_symmetry_space_group_name_Hall 'F -4 2 3'
_cell_length_a 7.182
_cell_length_b 7.182
_cell_length_c 7.182
_cell_angle_alpha 90.00
_cell_angle_beta 90.00
_cell_angle_gamma 90.00
loop_
_atom_site_label
_atom_site_type_symbol
_atom_site_fract_x
_atom_site_fract_y
_atom_site_fract_z
_atom_site_occupancy
Mg1 Mg 0.000 0.000 0.000 1
Tl1 Tl 0.250 0.250 0.250 1
Bi1 Bi 0.250 0.250 0.750 1